# 1
CrReTe2N after structural relaxation, computed with PBE.

a = 5.3784 Å, b = 5.3784 Å, c = 3.7105 Å
α = 90.00°, β = 90.00°, γ = 90.00°
Site moments in Bohr magnetons follow the coordinates.
Fractional positions:
Te (0.5000, 0.0000, 0.0000)  0.03
Te (0.0000, 0.5000, 0.0000)  0.03
Re (0.0000, 0.0000, 0.0000)  0.10
Cr (0.5000, 0.5000, 0.5000)  0.34
N (0.0000, 0.0000, 0.5000)  -0.01

Results
E_form (uncorrected) in eV per atom: 0.913
SG: P4/mmm (123)
Energy above the most stable polymorph in this dataset in meV/atom: 70.9

# 2
CrReTe2N after structural relaxation, computed with PBE.

a = 4.9160 Å, b = 4.5198 Å, c = 4.9160 Å
α = 90.00°, β = 90.00°, γ = 90.00°
Site moments in Bohr magnetons follow the coordinates.
Fractional positions:
Te (0.0000, 0.0000, 0.5000)  -0.02
Te (0.5000, 0.0000, 0.0000)  -0.01
Re (0.0000, 0.5000, 0.0000)  1.51
Cr (0.0000, 0.0000, 0.0000)  -0.26
N (0.5000, 0.5000, 0.5000)  0.16

Results
E_form (uncorrected) in eV per atom: 2.161
SG: P4/mmm (123)
Energy above the most stable polymorph in this dataset in meV/atom: 1318.1

Number 2 is which compound? CrReTe2N

Among the records above, which one has the lowest E_form (uncorrected)? number 1